(1)
Compound: PbAuSe
Source: Alexandria via LeMat-Bulk
Functional: PBE-GGA
Structure: optimized geometry

The structure in CIF format:
```
data_PbAuSe
_cell_length_a 5.273
_cell_length_b 5.273
_cell_length_c 5.273
_cell_angle_alpha 132.06
_cell_angle_beta 132.06
_cell_angle_gamma 70.14
_space_group_name_H-M_alt 'P 1'
_space_group_IT_number 1
_space_group_name_Hall 'P 1'
loop_
_atom_site_label
_atom_site_type_symbol
_atom_site_fract_x
_atom_site_fract_y
_atom_site_fract_z
Pb1 Pb 0.000 0.000 0.000
Au1 Au 0.330 0.330 0.000
Se1 Se 0.622 0.622 0.000
```

Results
The calculation puts the electronic total energy at -3.493 eV/atom.


(2)
Compound: TlAsPSe2
Source: Alexandria via LeMat-Bulk
Functional: PBE-GGA
Structure: optimized geometry

The structure in CIF format:
```
data_TlAsPSe2
_cell_length_a 5.281
_cell_length_b 5.281
_cell_length_c 5.367
_cell_angle_alpha 90.00
_cell_angle_beta 90.00
_cell_angle_gamma 90.00
_space_group_name_H-M_alt 'P 1'
_space_group_IT_number 1
_space_group_name_Hall 'P 1'
loop_
_atom_site_label
_atom_site_type_symbol
_atom_site_fract_x
_atom_site_fract_y
_atom_site_fract_z
Tl1 Tl 0.000 0.000 0.000
As1 As 0.000 0.000 0.500
P1 P 0.500 0.500 0.500
Se1 Se 0.000 0.500 0.000
Se2 Se 0.500 0.000 0.000
```

Results
The distance to the lowest polymorph of the same formula comes out at 1031 meV/atom.


(3)
Compound: K3SbH
Source: Alexandria via LeMat-Bulk
Functional: PBE-GGA
Structure: optimized geometry

The structure in CIF format:
```
data_K3SbH
_cell_length_a 5.455
_cell_length_b 5.455
_cell_length_c 5.455
_cell_angle_alpha 90.00
_cell_angle_beta 90.00
_cell_angle_gamma 90.00
_space_group_name_H-M_alt 'P 1'
_space_group_IT_number 1
_space_group_name_Hall 'P 1'
loop_
_atom_site_label
_atom_site_type_symbol
_atom_site_fract_x
_atom_site_fract_y
_atom_site_fract_z
K1 K 0.000 0.000 0.500
K2 K 0.000 0.500 0.000
K3 K 0.500 0.000 0.000
Sb1 Sb 0.500 0.500 0.500
H1 H 0.000 0.000 0.000
```

Results
The distance to the lowest polymorph of the same formula comes out at 0 meV/atom.


(4)
Compound: PtS2Cl8
Source: Alexandria via LeMat-Bulk
Functional: PBE-GGA
Structure: optimized geometry

The structure in CIF format:
```
data_PtS2Cl8
_cell_length_a 6.769
_cell_length_b 7.467
_cell_length_c 13.063
_cell_angle_alpha 90.00
_cell_angle_beta 96.30
_cell_angle_gamma 90.00
_space_group_name_H-M_alt 'P 1'
_space_group_IT_number 1
_space_group_name_Hall 'P 1'
loop_
_atom_site_label
_atom_site_type_symbol
_atom_site_fract_x
_atom_site_fract_y
_atom_site_fract_z
Pt1 Pt 0.000 0.000 0.000
Pt2 Pt 0.000 0.500 0.500
S1 S 0.271 0.194 0.979
S2 S 0.271 0.306 0.479
S3 S 0.729 0.694 0.521
S4 S 0.729 0.806 0.021
Cl1 Cl 0.181 0.662 0.388
Cl2 Cl 0.181 0.838 0.888
Cl3 Cl 0.214 0.178 0.343
Cl4 Cl 0.214 0.322 0.843
Cl5 Cl 0.231 0.586 0.639
Cl6 Cl 0.231 0.914 0.139
Cl7 Cl 0.260 0.101 0.580
Cl8 Cl 0.260 0.399 0.080
Cl9 Cl 0.740 0.601 0.920
Cl10 Cl 0.740 0.899 0.420
Cl11 Cl 0.769 0.086 0.861
Cl12 Cl 0.769 0.414 0.361
Cl13 Cl 0.786 0.678 0.157
Cl14 Cl 0.786 0.822 0.657
Cl15 Cl 0.819 0.162 0.112
Cl16 Cl 0.819 0.338 0.612
```

Results
The distance to the lowest polymorph of the same formula comes out at 0 meV/atom.